Entry 1:
A relaxed structure of HfPaFeRh. Source: Alexandria, functional PBE.

Output
Space-group type = F-43m (216)
Calculated formation energy = -121 kJ/mol of formula units

```
data_HfPaFeRh
_chemical_formula_sum 'Hf1 Pa1 Fe1 Rh1'
_space_group_name_H-M_alt 'P 1'
_space_group_IT_number 1
_cell_length_a 4.697
_cell_length_b 4.697
_cell_length_c 4.697
_cell_angle_alpha 60.00
_cell_angle_beta 60.00
_cell_angle_gamma 60.00
loop_
_space_group_symop_operation_xyz
'x,y,z'
loop_
_atom_site_label
_atom_site_type_symbol
_atom_site_fract_x
_atom_site_fract_y
_atom_site_fract_z
Fe1 Fe 0.500 0.500 0.500
Pa1 Pa 0.250 0.250 0.250
Hf1 Hf 0.750 0.750 0.750
Rh1 Rh 0.000 0.000 0.000
```

---

Entry 2:
A relaxed structure of K2Ag2I. Source: Alexandria, functional PBE.

Output
Space-group type = P4/mbm (127)
Raw formation energy = -1.25 eV/f.u.

```
data_K2Ag2I
_chemical_formula_sum 'K4 Ag4 I2'
_space_group_name_H-M_alt 'P 1'
_space_group_IT_number 1
_cell_length_a 8.977
_cell_length_b 8.977
_cell_length_c 4.407
_cell_angle_alpha 90.00
_cell_angle_beta 90.00
_cell_angle_gamma 90.00
loop_
_space_group_symop_operation_xyz
'x,y,z'
loop_
_atom_site_label
_atom_site_type_symbol
_atom_site_fract_x
_atom_site_fract_y
_atom_site_fract_z
I1 I 0.500 0.500 0.000
K1 K 0.313 0.187 0.500
K2 K 0.187 0.687 0.500
K3 K 0.813 0.313 0.500
I2 I 0.000 0.000 0.000
Ag1 Ag 0.893 0.607 0.000
Ag2 Ag 0.107 0.393 0.000
Ag3 Ag 0.607 0.107 0.000
Ag4 Ag 0.393 0.893 0.000
K4 K 0.687 0.813 0.500
```

---

Calculated total energy in eV per atom, matching the order above: -9.13; -2.14